This record from Alexandria describes crystalline KTbPm2Se4 at its relaxed geometry. The functional is PBE-GGA.

Space group   No. 10
Uncorrected formation energy   -1.734 eV per atom
D(E_F)   2.83 states/eV per cell

Lattice parameters (Å, degrees): 7.3761 4.1895 7.4031 90.00 108.61 90.00
Closest atoms and distances in Å follow each position.
Element x y z (fractional)
K1 0.0000 0.0000 0.0000  6 Se 3.05-3.09
Tb1 0.0000 0.5000 0.5000  6 Se 2.96-2.97
Pm1 0.5000 0.0000 0.5000  6 Se 2.93-2.95
Pm2 0.5000 0.5000 0.0000  6 Se 3.04-3.05
Se1 0.2480 0.0000 0.7395  3 Pm 2.95-3.05, 2 Tb 2.97, 1 K 3.05
Se2 0.2598 0.5000 0.2662  3 Pm 2.93-3.04, 1 Tb 2.96, 2 K 3.09
Se3 0.7402 0.5000 0.7338  3 Pm 2.93-3.04, 1 Tb 2.96, 2 K 3.09
Se4 0.7520 0.0000 0.2605  3 Pm 2.95-3.05, 2 Tb 2.97, 1 K 3.05

---

This record from Alexandria describes crystalline KTb3Pm2Se6 at its relaxed geometry. The functional is PBE-GGA.

Space group   No. 12
Uncorrected formation energy   -1.769 eV per atom
D(E_F)   3.67 states/eV per cell

Lattice parameters (Å, degrees): 9.4182 9.4182 8.5206 103.75 103.75 25.39
Closest atoms and distances in Å follow each position.
Element x y z (fractional)
K1 0.0000 0.0000 0.0000  6 Se 3.08-3.09
Tb1 0.0000 0.0000 0.5000  6 Se 2.86-2.90
Tb2 0.3355 0.3355 0.1760  6 Se 2.87-2.98
Tb3 0.6645 0.6645 0.8240  6 Se 2.87-2.98
Pm1 0.3285 0.3285 0.6533  6 Se 2.96-3.08
Pm2 0.6715 0.6715 0.3467  6 Se 2.96-3.08
Se1 0.1625 0.1625 0.5895  3 Tb 2.87-2.90, 3 Pm 2.96-2.97
Se2 0.1734 0.1734 0.0799  3 Tb 2.89-2.98, 2 Pm 3.08, 1 K 3.09
Se3 0.5002 0.5002 0.2677  3 Tb 2.86-2.94, 1 Pm 3.05, 2 K 3.08
Se4 0.4998 0.4998 0.7323  3 Tb 2.86-2.94, 1 Pm 3.05, 2 K 3.08
Se5 0.8266 0.8266 0.9201  3 Tb 2.89-2.98, 2 Pm 3.08, 1 K 3.09
Se6 0.8375 0.8375 0.4105  3 Tb 2.87-2.90, 3 Pm 2.96-2.97

---

This record from Alexandria describes crystalline KTb2PmSe4 at its relaxed geometry. The functional is PBE-GGA.

Space group   No. 10
Uncorrected formation energy   -1.741 eV per atom
D(E_F)   2.71 states/eV per cell

Lattice parameters (Å, degrees): 7.3348 4.1470 7.3800 90.00 108.45 90.00
Closest atoms and distances in Å follow each position.
Element x y z (fractional)
K1 0.0000 0.0000 0.0000  6 Se 3.07-3.10
Tb1 0.0000 0.5000 0.5000  6 Se 2.95
Tb2 0.5000 0.0000 0.5000  6 Se 2.88-2.90
Pm1 0.5000 0.5000 0.0000  6 Se 3.03
Se1 0.2509 0.0000 0.7369  3 Tb 2.90-2.95, 2 Pm 3.03, 1 K 3.07
Se2 0.2652 0.5000 0.2713  3 Tb 2.88-2.95, 1 Pm 3.03, 2 K 3.10
Se3 0.7348 0.5000 0.7287  3 Tb 2.88-2.95, 1 Pm 3.03, 2 K 3.10
Se4 0.7491 0.0000 0.2631  3 Tb 2.90-2.95, 2 Pm 3.03, 1 K 3.07

---

This record from Alexandria describes crystalline K3Pm2TeSe6 at its relaxed geometry. The functional is PBE-GGA.

Space group   No. 12
Uncorrected formation energy   -1.251 eV per atom
D(E_F)   6.20 states/eV per cell

Lattice parameters (Å, degrees): 7.5868 7.5868 8.0408 98.54 98.54 121.27
Closest atoms and distances in Å follow each position.
Element x y z (fractional)
K1 0.0000 0.0000 0.0000  6 Se 3.38-3.43
K2 0.3373 0.6627 0.0000  6 Se 3.32-3.37
K3 0.6627 0.3373 0.0000  6 Se 3.32-3.37
Pm1 0.1694 0.8306 0.5000  6 Se 2.95-3.02
Pm2 0.8306 0.1694 0.5000  6 Se 2.95-3.02
Te1 0.5000 0.5000 0.5000  6 Se 2.84-3.07
Se1 0.0879 0.4297 0.2860  2 Pm 2.95-2.96, 1 Te 3.07
Se2 0.2427 0.2427 0.6989  1 Te 2.84, 2 Pm 3.02
Se3 0.4297 0.0879 0.2860  2 Pm 2.95-2.96, 1 Te 3.07
Se4 0.5703 0.9121 0.7140  2 Pm 2.95-2.96, 1 Te 3.07
Se5 0.7573 0.7573 0.3011  1 Te 2.84, 2 Pm 3.02
Se6 0.9121 0.5703 0.7140  2 Pm 2.95-2.96, 1 Te 3.07

---

This record from Alexandria describes crystalline K2PmTeSe4 at its relaxed geometry. The functional is PBE-GGA.

Space group   No. 15
Uncorrected formation energy   -1.070 eV per atom
D(E_F)   3.03 states/eV per cell

Lattice parameters (Å, degrees): 8.7148 8.7148 8.6978 117.38 117.38 89.95
Closest atoms and distances in Å follow each position.
Element x y z (fractional)
K1 0.0000 0.0000 0.0000  4 Se 3.23-3.24
K2 0.0000 0.0000 0.5000  4 Se 3.23-3.24
K3 0.0000 0.5000 0.0000  6 Se 3.25-3.39
K4 0.5000 0.0000 0.5000  6 Se 3.25-3.39
Pm1 0.5000 0.5000 0.0000  6 Se 2.95-3.02
Pm2 0.5000 0.5000 0.5000  6 Se 2.95-3.02
Te1 0.0000 0.5000 0.5000  4 Se 2.78-2.87
Te2 0.5000 0.0000 0.0000  4 Se 2.78-2.87
Se1 0.2329 0.7094 0.4906  1 Te 2.78, 1 Pm 2.95
Se2 0.2629 0.2995 0.5454  1 Te 2.87, 2 Pm 2.98-3.02
Se3 0.2906 0.7671 0.0094  1 Te 2.78, 1 Pm 2.95
Se4 0.2995 0.2629 0.0454  1 Te 2.87, 2 Pm 2.98-3.02
Se5 0.7005 0.7371 0.9546  1 Te 2.87, 2 Pm 2.98-3.02
Se6 0.7094 0.2329 0.9906  1 Te 2.78, 1 Pm 2.95
Se7 0.7371 0.7005 0.4546  1 Te 2.87, 2 Pm 2.98-3.02
Se8 0.7671 0.2906 0.5094  1 Te 2.78, 1 Pm 2.95

---

This record from Alexandria describes crystalline K2PmThSe4 at its relaxed geometry. The functional is PBE-GGA.

Space group   No. 10
Uncorrected formation energy   -1.649 eV per atom
D(E_F)   4.26 states/eV per cell

Lattice parameters (Å, degrees): 7.4088 4.2825 8.1479 90.00 107.58 90.00
Closest atoms and distances in Å follow each position.
Element x y z (fractional)
K1 0.0000 0.0000 0.0000  6 Se 3.33-3.34
K2 0.5000 0.5000 0.0000  6 Se 3.30-3.32
Pm1 0.0000 0.5000 0.5000  6 Se 2.99
Th1 0.5000 0.0000 0.5000  6 Se 2.95-2.98
Se1 0.2413 0.0000 0.7137  1 Th 2.95, 2 Pm 2.99
Se2 0.2640 0.5000 0.2853  2 Th 2.98, 1 Pm 2.99, 3 K 3.30-3.33
Se3 0.7360 0.5000 0.7147  2 Th 2.98, 1 Pm 2.99, 3 K 3.30-3.33
Se4 0.7587 0.0000 0.2863  1 Th 2.95, 2 Pm 2.99

---

This record from Alexandria describes crystalline K4PmTh3Se8 at its relaxed geometry. The functional is PBE-GGA.

Space group   No. 166
Uncorrected formation energy   -1.594 eV per atom
D(E_F)   10.53 states/eV per cell

Lattice parameters (Å, degrees): 9.2456 9.2456 9.2456 54.79 54.79 54.79
Closest atoms and distances in Å follow each position.
Element x y z (fractional)
K1 0.0000 0.0000 0.0000  6 Se 3.30
K2 0.0000 0.5000 0.5000  6 Se 3.30-3.32
K3 0.5000 0.0000 0.5000  6 Se 3.30-3.32
K4 0.5000 0.5000 0.0000  6 Se 3.30-3.32
Pm1 0.5000 0.5000 0.5000  6 Se 2.99
Th1 0.0000 0.0000 0.5000  6 Se 2.98-2.99
Th2 0.0000 0.5000 0.0000  6 Se 2.98-2.99
Th3 0.5000 0.0000 0.0000  6 Se 2.98-2.99
Se1 0.2366 0.7396 0.7396  2 Th 2.98, 1 Pm 2.99, 3 K 3.30-3.32
Se2 0.2392 0.2392 0.2392  3 Th 2.99, 3 K 3.30
Se3 0.2604 0.2604 0.7634  2 Th 2.98, 1 Pm 2.99, 3 K 3.30-3.32
Se4 0.2604 0.7634 0.2604  2 Th 2.98, 1 Pm 2.99, 3 K 3.30-3.32
Se5 0.7396 0.2366 0.7396  2 Th 2.98, 1 Pm 2.99, 3 K 3.30-3.32
Se6 0.7396 0.7396 0.2366  2 Th 2.98, 1 Pm 2.99, 3 K 3.30-3.32
Se7 0.7608 0.7608 0.7608  3 Th 2.99, 3 K 3.30
Se8 0.7634 0.2604 0.2604  2 Th 2.98, 1 Pm 2.99, 3 K 3.30-3.32

---

This record from Alexandria describes crystalline K3Pm2ThSe6 at its relaxed geometry. The functional is PBE-GGA.

Space group   No. 12
Uncorrected formation energy   -1.687 eV per atom
D(E_F)   4.73 states/eV per cell

Lattice parameters (Å, degrees): 10.1405 10.1405 9.1958 108.23 108.23 24.45
Closest atoms and distances in Å follow each position.
Element x y z (fractional)
K1 0.0000 0.0000 0.0000  6 Se 3.31-3.34
K2 0.3317 0.3317 0.6673  6 Se 3.31-3.35
K3 0.6683 0.6683 0.3327  6 Se 3.31-3.35
Pm1 0.3313 0.3313 0.1618  6 Se 2.95-3.03
Pm2 0.6687 0.6687 0.8382  6 Se 2.95-3.03
Th1 0.0000 0.0000 0.5000  6 Se 2.94-2.97
Se1 0.1565 0.1565 0.6022  1 Th 2.94, 2 Pm 3.01
Se2 0.1743 0.1743 0.0637  3 Pm 2.95-2.96
Se3 0.4926 0.4926 0.2723  2 Th 2.97, 1 Pm 3.03
Se4 0.5074 0.5074 0.7277  2 Th 2.97, 1 Pm 3.03
Se5 0.8257 0.8257 0.9363  3 Pm 2.95-2.96
Se6 0.8435 0.8435 0.3978  1 Th 2.94, 2 Pm 3.01

---

This record from Alexandria describes crystalline K2Pm2TiSe6 at its relaxed geometry. The functional is PBE-GGA.

Space group   No. 12
Uncorrected formation energy   -1.523 eV per atom

Lattice parameters (Å, degrees): 7.0810 7.0810 8.2137 98.81 98.81 119.21
Closest atoms and distances in Å follow each position.
Element x y z (fractional)
K1 0.1730 0.8270 0.0000  6 Se 3.31-3.43
K2 0.8270 0.1730 0.0000  6 Se 3.31-3.43
Pm1 0.3329 0.6671 0.5000  6 Se 2.93-2.95
Pm2 0.6671 0.3329 0.5000  6 Se 2.93-2.95
Ti1 0.0000 0.0000 0.5000  6 Se 2.62-2.64
Se1 0.0707 0.3717 0.6989  1 Ti 2.64, 2 Pm 2.93-2.95
Se2 0.2293 0.2293 0.3045  1 Ti 2.62
Se3 0.3717 0.0707 0.6989  1 Ti 2.64, 2 Pm 2.93-2.95
Se4 0.6283 0.9293 0.3011  1 Ti 2.64, 2 Pm 2.93-2.95
Se5 0.7707 0.7707 0.6955  1 Ti 2.62
Se6 0.9293 0.6283 0.3011  1 Ti 2.64, 2 Pm 2.93-2.95

---

This record from Alexandria describes crystalline K3Pm3TiSe8 at its relaxed geometry. The functional is PBE-GGA.

Space group   No. 166
Uncorrected formation energy   -1.584 eV per atom

Lattice parameters (Å, degrees): 9.2163 9.2163 9.2163 53.89 53.89 53.89
Closest atoms and distances in Å follow each position.
Element x y z (fractional)
K1 0.0000 0.5000 0.5000  6 Se 3.31-3.33
K2 0.5000 0.0000 0.5000  6 Se 3.31-3.33
K3 0.5000 0.5000 0.0000  6 Se 3.31-3.33
Pm1 0.0000 0.0000 0.5000  6 Se 2.93-2.95
Pm2 0.0000 0.5000 0.0000  6 Se 2.93-2.95
Pm3 0.5000 0.0000 0.0000  6 Se 2.93-2.95
Ti1 0.5000 0.5000 0.5000  6 Se 2.65
Se1 0.2373 0.2373 0.2373  3 Pm 2.93
Se2 0.2634 0.7147 0.7147  1 Ti 2.65, 2 Pm 2.95
Se3 0.2853 0.2853 0.7366  1 Ti 2.65, 2 Pm 2.95
Se4 0.2853 0.7366 0.2853  1 Ti 2.65, 2 Pm 2.95
Se5 0.7147 0.2634 0.7147  1 Ti 2.65, 2 Pm 2.95
Se6 0.7147 0.7147 0.2634  1 Ti 2.65, 2 Pm 2.95
Se7 0.7366 0.2853 0.2853  1 Ti 2.65, 2 Pm 2.95
Se8 0.7627 0.7627 0.7627  3 Pm 2.93

---

uncorrected formation energy of number 10 (K3Pm3TiSe8)? -1.584 eV per atom

---

Which formula does entry 2 have? KTb3Pm2Se6